Record 1
First-principles (PBE) data for an optimized crystal structure of CaHI, as listed in Alexandria.

Cell: 7.071 4.086 5.835 Å, 90.00 113.65 90.00°
Space group Cm (No. 8)
Unique sites:
Ca 0.000 0.000 0.000 [2 per cell]
H 0.310 0.000 0.929 [2 per cell]
I 0.298 0.500 0.398 [2 per cell]

## Properties
Magnetization, μB/cell: 0.0
Total energy, eV per formula unit: -9.83

=====

Record 2
First-principles (PBE) data for an optimized crystal structure of AgSnB, as listed in Alexandria.

Cell: 3.8869 3.8869 8.5592 Å, 90.00 90.00 120.00°
Space group P6_3/mmc (No. 194)
Unique sites:
Ag 0.0000 0.0000 0.0000 [2 per cell]
Sn 0.3333 0.6667 0.2500 [2 per cell]
B 0.3333 0.6667 0.7500 [2 per cell]

## Properties
Energy of formation from the pure elements, eV/atom: 0.7734
Magnetization, μB/cell: 0.0
Total energy, eV per formula unit: -11.21

=====

Record 3
First-principles (PBE) data for an optimized crystal structure of Tl4Pd7Au, as listed in Alexandria.

Cell: 11.218 5.093 9.795 Å, 90.00 121.07 90.00°
Space group C2/m (No. 12)
Unique sites:
Tl 0.089 0.000 0.277 [4 per cell]
Tl 0.249 0.000 0.830 [4 per cell]
Pd 0.000 0.000 0.500 [2 per cell]
Pd 0.078 0.500 0.828 [4 per cell]
Pd 0.136 0.000 0.026 [4 per cell]
Pd 0.201 0.500 0.413 [4 per cell]
Au 0.000 0.500 0.500 [2 per cell]

## Properties
Energy of formation from the pure elements, eV/atom: -0.0304
Magnetization, μB/cell: 0.0
Total energy, eV per formula unit: -49.46